Record 1
Entry from the Alexandria database: HgHN3 at its PBEsol-relaxed geometry (SCAN).

a b c (Å): 3.534 3.534 3.534
angles (deg): 90.00 90.00 90.00
Fractional coordinates of all 5 atoms:
1 Hg 0.500 0.500 0.500
2 N 0.000 0.000 0.500
3 H 0.000 0.000 0.000
4 N 0.000 0.500 0.000
5 N 0.500 0.000 0.000

=====

Record 2
Entry from the Alexandria database: Hg3TePt at its PBEsol-relaxed geometry (SCAN).

Summary:
uncorrected formation energy: 0.979 eV per atom

a b c (Å): 5.410 5.410 5.410
angles (deg): 90.00 90.00 90.00
Last column: magnetic moment on the atom in μB.
Fractional coordinates of all 5 atoms:
1 Hg 0.000 0.500 0.000  0.00
2 Pt 0.500 0.500 0.500  0.61
3 Te 0.000 0.000 0.000  -0.01
4 Hg 0.500 0.000 0.000  0.00
5 Hg 0.000 0.000 0.500  0.00

=====

Record 3
Entry from the Alexandria database: P2PbCl at its PBEsol-relaxed geometry (SCAN).

Summary:
uncorrected formation energy: -0.173 eV per atom
offset from the most stable computed form: 0.91 kJ per mole of atoms

a b c (Å): 3.371 4.511 7.172
angles (deg): 103.57 90.00 111.95
Fractional coordinates of all 4 atoms:
1 Pb 0.482 0.964 0.517
2 P 0.301 0.601 0.801
3 Cl 0.748 0.496 0.282
4 P 0.969 0.939 0.900

=====

Record 4
Entry from the Alexandria database: KBe2As2 at its PBEsol-relaxed geometry (SCAN).

Summary:
energy of formation: -0.41 eV/atom

a b c (Å): 3.555 3.555 7.833
angles (deg): 103.12 103.12 90.00
Fractional coordinates of all 5 atoms:
1 K 0.000 0.000 0.000
2 Be 0.250 0.750 0.500
3 As 0.652 0.652 0.304
4 As 0.348 0.348 0.696
5 Be 0.750 0.250 0.500

=====

Record 5
Entry from the Alexandria database: Na6Fe2PC4O16 at its PBEsol-relaxed geometry (SCAN).

Summary:
uncorrected formation energy: -1.876 eV per atom

a b c (Å): 9.802 9.802 9.802
angles (deg): 60.00 60.00 60.00
Last column: magnetic moment on the atom in μB.
Fractional coordinates of all 58 atoms:
1 O 0.815 0.984 0.478  0.07
2 O 0.435 0.266 0.772  0.07
3 O 0.435 0.526 0.266  0.07
4 O 0.772 0.266 0.526  0.07
5 O 0.444 0.185 0.185  0.00
6 Na 0.794 0.206 0.794  0.00
7 Na 0.456 0.044 0.044  0.00
8 O 0.724 0.815 0.478  0.07
9 P 0.000 0.000 0.000  0.00
10 C 0.410 0.410 0.410  0.01
11 O 0.065 0.806 0.065  0.00
12 Na 0.206 0.794 0.206  0.00
13 O 0.724 0.478 0.984  0.07
14 Na 0.456 0.456 0.044  0.00
15 C 0.410 0.771 0.410  0.01
16 O 0.478 0.724 0.815  0.07
17 Fe 0.625 0.625 0.125  3.96
18 C 0.410 0.410 0.771  0.01
19 O 0.266 0.772 0.435  0.07
20 O 0.065 0.065 0.806  0.00
21 O 0.815 0.478 0.724  0.07
22 O 0.266 0.435 0.526  0.07
23 C 0.840 0.840 0.840  0.01
24 C 0.840 0.840 0.479  0.01
25 Na 0.044 0.456 0.044  0.00
26 O 0.435 0.772 0.526  0.07
27 Na 0.044 0.044 0.456  0.00
28 O 0.478 0.815 0.984  0.07
29 O 0.806 0.065 0.065  0.00
30 Na 0.044 0.456 0.456  0.00
31 Na 0.206 0.206 0.794  0.00
32 O 0.815 0.724 0.984  0.07
33 O 0.185 0.185 0.444  0.00
34 O 0.065 0.065 0.065  0.00
35 Na 0.456 0.044 0.456  0.00
36 Na 0.206 0.794 0.794  0.00
37 O 0.724 0.984 0.815  0.07
38 O 0.772 0.526 0.435  0.07
39 C 0.771 0.410 0.410  0.01
40 O 0.984 0.815 0.724  0.07
41 C 0.479 0.840 0.840  0.01
42 O 0.526 0.772 0.266  0.07
43 O 0.526 0.435 0.772  0.07
44 O 0.185 0.444 0.185  0.00
45 O 0.185 0.185 0.185  0.00
46 Fe 0.625 0.625 0.625  3.96
47 C 0.840 0.479 0.840  0.01
48 O 0.984 0.478 0.815  0.07
49 Na 0.794 0.206 0.206  0.00
50 O 0.526 0.266 0.435  0.07
51 O 0.478 0.984 0.724  0.07
52 P 0.250 0.250 0.250  0.00
53 Na 0.794 0.794 0.206  0.00
54 O 0.266 0.526 0.772  0.07
55 Fe 0.625 0.125 0.625  3.96
56 O 0.772 0.435 0.266  0.07
57 O 0.984 0.724 0.478  0.07
58 Fe 0.125 0.625 0.625  3.96

=====

Record 6
Entry from the Alexandria database: LiHg2Pb2 at its PBEsol-relaxed geometry (SCAN).

Summary:
energy of formation: -0.10 eV/atom

a b c (Å): 4.670 7.358 7.358
angles (deg): 90.00 90.00 90.00
Fractional coordinates of all 10 atoms:
1 Hg 0.000 0.858 0.642
2 Li 0.000 0.000 0.000
3 Hg 0.000 0.142 0.358
4 Pb 0.500 0.829 0.329
5 Pb 0.500 0.329 0.171
6 Hg 0.000 0.358 0.858
7 Pb 0.500 0.671 0.829
8 Hg 0.000 0.642 0.142
9 Li 0.000 0.500 0.500
10 Pb 0.500 0.171 0.671

=====

Record 7
Entry from the Alexandria database: TeRhSe at its PBEsol-relaxed geometry (SCAN).

Summary:
uncorrected formation energy: 0.640 eV per atom
offset from the most stable computed form: 105.37 kJ per mole of atoms

a b c (Å): 4.503 4.503 4.503
angles (deg): 60.00 60.00 60.00
Fractional coordinates of all 3 atoms:
1 Se 0.250 0.250 0.250
2 Rh 0.500 0.500 0.500
3 Te 0.000 0.000 0.000

=====

Record 8
Entry from the Alexandria database: CsFe2Se3 at its PBEsol-relaxed geometry (SCAN).

Summary:
uncorrected formation energy: -0.579 eV per atom

a b c (Å): 5.298 7.450 7.450
angles (deg): 99.91 90.00 90.00
Last column: magnetic moment on the atom in μB.
Fractional coordinates of all 12 atoms:
1 Se 0.250 0.156 0.377  0.03
2 Cs 0.750 0.335 0.665  0.01
3 Cs 0.250 0.665 0.335  0.01
4 Se 0.750 0.377 0.156  0.03
5 Fe 0.000 0.866 0.866  2.35
6 Se 0.250 0.118 0.882  -0.09
7 Fe 0.500 0.134 0.134  2.35
8 Se 0.250 0.623 0.844  0.03
9 Se 0.750 0.844 0.623  0.03
10 Fe 0.000 0.134 0.134  2.35
11 Fe 0.500 0.866 0.866  2.35
12 Se 0.750 0.882 0.118  -0.09

=====

Record 9
Entry from the Alexandria database: Ta2Fe2Sb at its PBEsol-relaxed geometry (SCAN).

Summary:
uncorrected formation energy: 0.271 eV per atom

a b c (Å): 4.105 4.105 5.698
angles (deg): 111.11 111.11 90.00
Fractional coordinates of all 5 atoms:
1 Fe 0.388 0.388 0.775
2 Ta 0.250 0.750 0.500
3 Ta 0.750 0.250 0.500
4 Sb 0.000 0.000 0.000
5 Fe 0.612 0.612 0.225

=====

Record 10
Entry from the Alexandria database: LiH2IO at its PBEsol-relaxed geometry (SCAN).

a b c (Å): 4.311 5.450 6.291
angles (deg): 90.00 90.00 90.00
Fractional coordinates of all 10 atoms:
1 I 0.000 0.262 0.250
2 H 0.320 0.649 0.250
3 H 0.680 0.649 0.250
4 H 0.680 0.351 0.750
5 O 0.500 0.236 0.750
6 O 0.500 0.764 0.250
7 I 0.000 0.738 0.750
8 H 0.320 0.351 0.750
9 Li 0.500 0.000 0.500
10 Li 0.500 0.000 0.000

=====

Record 11
Entry from the Alexandria database: Na3SrC at its PBEsol-relaxed geometry (SCAN).

Summary:
energy of formation: 0.83 eV/atom

a b c (Å): 5.136 5.136 5.136
angles (deg): 90.00 90.00 90.00
Fractional coordinates of all 5 atoms:
1 C 0.000 0.000 0.000
2 Na 0.500 0.000 0.000
3 Sr 0.500 0.500 0.500
4 Na 0.000 0.500 0.000
5 Na 0.000 0.000 0.500

=====

Record 12
Entry from the Alexandria database: CaZrRh4 at its PBEsol-relaxed geometry (SCAN).

Summary:
energy of formation: -0.60 eV/atom

a b c (Å): 5.182 5.182 5.182
angles (deg): 60.00 60.00 60.00
Fractional coordinates of all 6 atoms:
1 Rh 0.874 0.375 0.375
2 Rh 0.375 0.375 0.375
3 Rh 0.375 0.874 0.375
4 Rh 0.375 0.375 0.874
5 Ca 0.000 0.000 0.000
6 Zr 0.750 0.750 0.750

=====

Table of uncorrected energy (eV/atom), in record order: -17.0418, -61.4091, -26.3117, -11.8957, -9.1875, -58.1599, -29.7274, -22.9632, -41.0665, -11.6572, -8.1787, -29.8398